(1)
## ZnNi2H2 (PBE-GGA)

Data for a relaxed ZnNi2H2 crystal.

Output
Uncorrected energy ... -39.40 eV for the cell shown
Relative energy among the computed polymorphs ... 4 meV per atom
ρ ... 7.61 g/cm3

Unit cell a=2.9816 b=2.9816 c=9.0678 alpha=90.00 beta=90.00 gamma=90.00
Closest atoms and distances in Å follow each position.
Space group I4/mmm (No. 139)
Inequivalent atoms, fractional coordinates:
Zn: 0.0000 0.0000 0.0000 [2 per cell]  8 Ni 2.54, 8 H 2.71
Ni: 0.0000 0.0000 0.3444 [4 per cell]  4 H 1.72
H: 0.0000 0.5000 0.2500 [4 per cell]  4 Ni 1.72


(2)
## Cu2Ag (PBE-GGA)

Data for a relaxed Cu2Ag crystal.

Output
DFT formation energy ... 89 meV/atom
Uncorrected energy ... -19.98 eV for the cell shown
Relative energy among the computed polymorphs ... 43 meV per atom
ρ ... 9.34 g/cm3

Unit cell a=2.7419 b=3.7189 c=8.1899 alpha=90.00 beta=90.00 gamma=90.00
Closest atoms and distances in Å follow each position.
Space group Pmmm (No. 47)
Inequivalent atoms, fractional coordinates:
Cu: 0.0000 0.0000 0.0000 [1 per cell]  8 Ag 2.72, 4 Cu 2.74-2.86
Cu: 0.0000 0.0000 0.3495 [2 per cell]  7 Cu 2.46-2.74, 4 Ag 2.72
Cu: 0.5000 0.5000 0.5000 [1 per cell]  10 Cu 2.62-2.74, 2 Ag 2.67
Ag: 0.5000 0.5000 0.1741 [2 per cell]  9 Cu 2.67-2.72, 3 Ag 2.74-2.85


(3)
## GdCdSO (PBE-GGA)

Data for a relaxed GdCdSO crystal.

Output
Uncorrected energy ... -123.39 eV for the cell shown
ρ ... 5.86 g/cm3

Unit cell a=4.4990 b=4.4990 c=30.8054 alpha=90.00 beta=90.00 gamma=120.00
Closest atoms and distances in Å follow each position.
Space group R-3m (No. 166, hexagonal axes)
Inequivalent atoms, fractional coordinates:
Gd: 0.0000 0.0000 0.2252 [6 per cell]  1 O 2.14
Cd: 0.0000 0.0000 0.3680 [6 per cell]  1 O 2.25
S: 0.0000 0.0000 0.1282 [6 per cell]  3 Gd 2.67
O: 0.0000 0.0000 0.2949 [6 per cell]  1 Gd 2.14, 1 Cd 2.25


(4)
## NaZrCuTeSeS (PBE-GGA)

Data for a relaxed NaZrCuTeSeS crystal.

Output
Uncorrected energy ... -121.18 eV for the cell shown
ρ ... 4.97 g/cm3

Unit cell a=13.8604 b=3.8832 c=10.3294 alpha=90.00 beta=90.00 gamma=90.00
Closest atoms and distances in Å follow each position.
Space group Pnma (No. 62)
Inequivalent atoms, fractional coordinates:
Na: 0.2380 0.2500 0.0307 [4 per cell]  2 S 3.07, 2 Se 3.13, 3 Te 3.23-3.24
Zr: 0.0056 0.2500 0.3327 [4 per cell]  3 S 2.59-2.71, 1 Se 2.64
Cu: 0.0079 0.7500 0.0932 [4 per cell]  3 Se 2.48-2.57, 1 Te 2.61, 2 Cu 2.74
Te: 0.1527 0.7500 0.2543 [4 per cell]  1 Cu 2.61
Se: 0.1016 0.7500 0.8788 [4 per cell]  3 Cu 2.48-2.57, 1 Zr 2.64
S: 0.0930 0.2500 0.5671 [4 per cell]  3 Zr 2.59-2.71


(5)
## HfMgAsO (PBE-GGA)

Data for a relaxed HfMgAsO crystal.

Output
Uncorrected energy ... -53.72 eV for the cell shown
Relative energy among the computed polymorphs ... 197 meV per atom
ρ ... 7.90 g/cm3

Unit cell a=3.8056 b=3.8056 c=8.5289 alpha=90.00 beta=90.00 gamma=90.00
Closest atoms and distances in Å follow each position.
Space group P4/nmm (No. 129, origin choice 2)
Inequivalent atoms, fractional coordinates:
Hf: 0.2500 0.2500 0.1305 [2 per cell]  4 O 2.20
Mg: 0.2500 0.7500 0.5000 [2 per cell]  4 As 2.64, 4 Mg 2.69
As: 0.2500 0.2500 0.7139 [2 per cell]  4 Mg 2.64
O: 0.2500 0.7500 0.0000 [2 per cell]  4 Hf 2.20


(6)
## Tb2GdGa3FeGe2 (PBE-GGA)

Data for a relaxed Tb2GdGa3FeGe2 crystal.

Output
Uncorrected energy ... -92.69 eV for the cell shown
ρ ... 8.33 g/cm3

Unit cell a=4.1692 b=12.1184 c=6.9874 alpha=90.00 beta=90.00 gamma=90.00
Closest atoms and distances in Å follow each position.
Space group Amm2 (No. 38)
Inequivalent atoms, fractional coordinates:
Tb: 0.0000 0.1995 0.0000 [4 per cell]  1 Fe 2.79, 4 Ge 2.98
Gd: 0.0000 0.0000 0.5992 [2 per cell]  1 Fe 2.80, 4 Ge 2.99
Ga: 0.5000 0.0000 0.9749 [2 per cell]  2 Fe 2.61, 2 Ga 2.72, 2 Ge 2.79
Ga: 0.5000 0.1126 0.3115 [4 per cell]  2 Fe 2.61, 2 Ga 2.72-2.73, 2 Ge 2.78-2.79
Fe: 0.0000 0.0000 0.1988 [2 per cell]  6 Ga 2.61, 2 Tb 2.79, 1 Gd 2.80
Ge: 0.5000 0.1672 0.6996 [4 per cell]  3 Ga 2.78-2.79, 4 Tb 2.98, 2 Gd 2.99


(7)
## GaW (PBE-GGA)

Data for a relaxed GaW crystal.

Output
Uncorrected energy ... -47.09 eV for the cell shown
Relative energy among the computed polymorphs ... 1953 meV per atom
ρ ... 9.05 g/cm3

Unit cell a=5.7098 b=5.7098 c=5.7098 alpha=90.00 beta=90.00 gamma=90.00
Closest atoms and distances in Å follow each position.
Space group F-43m (No. 216)
Inequivalent atoms, fractional coordinates:
Ga: 0.0000 0.0000 0.0000 [4 per cell]  4 W 2.47
W: 0.2500 0.2500 0.7500 [4 per cell]  4 Ga 2.47


(8)
## PuHfOs (PBE-GGA)

Data for a relaxed PuHfOs crystal.

Output
DFT formation energy ... -62 meV/atom
Uncorrected energy ... -141.97 eV for the cell shown
Relative energy among the computed polymorphs ... 0 meV per atom
ρ ... 15.45 g/cm3

Unit cell a=6.4101 b=6.4101 c=6.4101 alpha=90.00 beta=90.00 gamma=90.00
Closest atoms and distances in Å follow each position.
Space group F-43m (No. 216)
Inequivalent atoms, fractional coordinates:
Pu: 0.0000 0.0000 0.0000 [4 per cell]  4 Os 2.78
Hf: 0.0000 0.0000 0.5000 [4 per cell]  4 Os 2.78
Os: 0.2500 0.2500 0.7500 [4 per cell]  4 Hf 2.78, 4 Pu 2.78


(9)
## InCu3Te4Pb (PBE-GGA)

Data for a relaxed InCu3Te4Pb crystal.

Output
Uncorrected energy ... -29.68 eV for the cell shown
ρ ... 6.11 g/cm3

Unit cell a=6.5270 b=6.5270 c=6.5270 alpha=90.00 beta=90.00 gamma=90.00
Closest atoms and distances in Å follow each position.
Space group P-43m (No. 215)
Inequivalent atoms, fractional coordinates:
In: 0.0000 0.0000 0.0000 [1 per cell]  4 Te 2.77
Cu: 0.0000 0.5000 0.5000 [3 per cell]  4 Te 2.85
Te: 0.2449 0.2449 0.2449 [4 per cell]  1 In 2.77, 3 Cu 2.85, 1 Pb 2.88
Pb: 0.5000 0.5000 0.5000 [1 per cell]  4 Te 2.88


(10)
## PaZn (PBE-GGA)

Data for a relaxed PaZn crystal.

Output
DFT formation energy ... 65 meV/atom
Uncorrected energy ... -85.04 eV for the cell shown
ρ ... 12.20 g/cm3

Unit cell a=5.0357 b=6.3482 c=10.0982 alpha=90.00 beta=90.00 gamma=90.00
Closest atoms and distances in Å follow each position.
Space group Pmmn (No. 59, origin choice 2)
Inequivalent atoms, fractional coordinates:
Pa: 0.2500 0.0020 0.0989 [4 per cell]  8 Pa 2.91-3.21, 4 Zn 3.08-3.22
Pa: 0.2500 0.7500 0.3397 [2 per cell]  2 Pa 2.91, 10 Zn 2.98-3.20
Pa: 0.2500 0.7500 0.8362 [2 per cell]  4 Zn 2.94-3.18, 6 Pa 3.04-3.10
Zn: 0.2500 0.2500 0.3771 [2 per cell]  6 Zn 2.68-2.99
Zn: 0.2500 0.2500 0.8244 [2 per cell]  2 Zn 2.85, 10 Pa 3.01-3.19
Zn: 0.2500 0.5015 0.5902 [4 per cell]  4 Zn 2.68-2.99, 2 Pa 2.94-2.98


(11)
## TbPu (PBE-GGA)

Data for a relaxed TbPu crystal.

Output
DFT formation energy ... 763 meV/atom
Uncorrected energy ... -68.92 eV for the cell shown
Relative energy among the computed polymorphs ... 673 meV per atom
ρ ... 10.18 g/cm3

Unit cell a=6.4070 b=6.4070 c=6.4070 alpha=90.00 beta=90.00 gamma=90.00
Closest atoms and distances in Å follow each position.
Space group Fm-3m (No. 225)
Inequivalent atoms, fractional coordinates:
Tb: 0.0000 0.0000 0.0000 [4 per cell]  6 Pu 3.20
Pu: 0.0000 0.0000 0.5000 [4 per cell]  6 Tb 3.20


(12)
## PaGeO3 (PBE-GGA)

Data for a relaxed PaGeO3 crystal.

Output
Uncorrected energy ... -231.73 eV for the cell shown
ρ ... 7.60 g/cm3

Unit cell a=6.0614 b=6.0614 c=14.4841 alpha=90.00 beta=90.00 gamma=120.00
Closest atoms and distances in Å follow each position.
Space group R-3c (No. 167, hexagonal axes)
Inequivalent atoms, fractional coordinates:
Pa: 0.0000 0.0000 0.0000 [6 per cell]  6 O 2.30
Ge: 0.0000 0.0000 0.2500 [6 per cell]  3 O 2.16
O: 0.0000 0.3560 0.2500 [18 per cell]  1 Ge 2.16, 2 Pa 2.30


(13)
## SmYMgAl (PBE-GGA)

Data for a relaxed SmYMgAl crystal.

Output
Uncorrected energy ... -70.44 eV for the cell shown
ρ ... 4.71 g/cm3

Unit cell a=7.4278 b=7.4278 c=7.4278 alpha=90.00 beta=90.00 gamma=90.00
Closest atoms and distances in Å follow each position.
Space group F-43m (No. 216)
Inequivalent atoms, fractional coordinates:
Sm: 0.0000 0.0000 0.0000 [4 per cell]  4 Mg 3.22, 4 Al 3.22
Y: 0.0000 0.0000 0.5000 [4 per cell]  4 Mg 3.22, 4 Al 3.22
Mg: 0.2500 0.2500 0.7500 [4 per cell]  4 Sm 3.22, 4 Y 3.22
Al: 0.2500 0.2500 0.2500 [4 per cell]  4 Y 3.22, 4 Sm 3.22


(14)
## HfNbSi (PBE-GGA)

Data for a relaxed HfNbSi crystal.

Output
Uncorrected energy ... -110.58 eV for the cell shown
ρ ... 9.34 g/cm3

Unit cell a=6.9792 b=3.6146 c=8.4417 alpha=90.00 beta=90.00 gamma=90.00
Closest atoms and distances in Å follow each position.
Space group Pnma (No. 62)
Inequivalent atoms, fractional coordinates:
Hf: 0.0461 0.2500 0.1658 [4 per cell]  5 Si 2.76-2.95, 2 Nb 3.02
Nb: 0.1320 0.2500 0.5593 [4 per cell]  4 Si 2.60-2.75, 2 Nb 2.77
Si: 0.2505 0.2500 0.8598 [4 per cell]  4 Nb 2.60-2.75, 4 Hf 2.76-2.82


(15)
## TaCoBAu (PBE-GGA)

Data for a relaxed TaCoBAu crystal.

Output
Uncorrected energy ... -104.09 eV for the cell shown
Relative energy among the computed polymorphs ... 311 meV per atom
ρ ... 13.56 g/cm3

Unit cell a=6.0306 b=6.0306 c=6.0306 alpha=90.00 beta=90.00 gamma=90.00
Closest atoms and distances in Å follow each position.
Space group F-43m (No. 216)
Inequivalent atoms, fractional coordinates:
Ta: 0.0000 0.0000 0.0000 [4 per cell]  4 Au 2.61, 4 Co 2.61
Co: 0.2500 0.2500 0.7500 [4 per cell]  4 Ta 2.61, 4 B 2.61
B: 0.0000 0.0000 0.5000 [4 per cell]  4 Co 2.61, 4 Au 2.61
Au: 0.2500 0.2500 0.2500 [4 per cell]  4 Ta 2.61, 4 B 2.61


(16)
## Ba2NaZn (PBE-GGA)

Data for a relaxed Ba2NaZn crystal.

Output
Uncorrected energy ... -6.87 eV for the cell shown
ρ ... 3.62 g/cm3

Unit cell a=4.1671 b=4.1671 c=9.5999 alpha=90.00 beta=90.00 gamma=90.00
Closest atoms and distances in Å follow each position.
Space group P4/mmm (No. 123)
Inequivalent atoms, fractional coordinates:
Ba: 0.0000 0.0000 0.2000 [2 per cell]  4 Zn 3.52, 1 Ba 3.84
Na: 0.5000 0.5000 0.5000 [1 per cell]  8 Ba 4.12, 4 Na 4.17
Zn: 0.5000 0.5000 0.0000 [1 per cell]  8 Ba 3.52


(17)
## ZrCuPtPb (PBE-GGA)

Data for a relaxed ZrCuPtPb crystal.

Output
Uncorrected energy ... -91.62 eV for the cell shown
Relative energy among the computed polymorphs ... 86 meV per atom
ρ ... 12.37 g/cm3

Unit cell a=6.6882 b=6.6882 c=6.6882 alpha=90.00 beta=90.00 gamma=90.00
Closest atoms and distances in Å follow each position.
Space group F-43m (No. 216)
Inequivalent atoms, fractional coordinates:
Zr: 0.0000 0.0000 0.0000 [4 per cell]  4 Pb 2.90, 4 Pt 2.90
Cu: 0.0000 0.0000 0.5000 [4 per cell]  4 Pb 2.90, 4 Pt 2.90
Pt: 0.2500 0.2500 0.7500 [4 per cell]  4 Zr 2.90, 4 Cu 2.90
Pb: 0.2500 0.2500 0.2500 [4 per cell]  4 Zr 2.90, 4 Cu 2.90


(18)
## GdHfAu4 (PBE-GGA)

Data for a relaxed GdHfAu4 crystal.

Output
DFT formation energy ... -695 meV/atom
Uncorrected energy ... -31.84 eV for the cell shown
ρ ... 15.65 g/cm3

Unit cell a=3.6472 b=3.6472 c=8.9611 alpha=90.00 beta=90.00 gamma=90.00
Closest atoms and distances in Å follow each position.
Space group P4/mmm (No. 123)
Inequivalent atoms, fractional coordinates:
Gd: 0.0000 0.0000 0.0000 [1 per cell]  10 Au 3.03-3.06
Hf: 0.5000 0.5000 0.5000 [1 per cell]  10 Au 2.90-2.94
Au: 0.0000 0.0000 0.3415 [2 per cell]  5 Au 2.84-2.97, 4 Hf 2.94, 1 Gd 3.06
Au: 0.5000 0.5000 0.1766 [2 per cell]  1 Hf 2.90, 5 Au 2.97-3.16, 4 Gd 3.03


(19)
## MgTaAlFe (PBE-GGA)

Data for a relaxed MgTaAlFe crystal.

Output
Uncorrected energy ... -102.54 eV for the cell shown
Relative energy among the computed polymorphs ... 0 meV per atom
ρ ... 8.20 g/cm3

Unit cell a=6.1574 b=6.1574 c=6.1574 alpha=90.00 beta=90.00 gamma=90.00
Closest atoms and distances in Å follow each position.
Space group F-43m (No. 216)
Inequivalent atoms, fractional coordinates:
Mg: 0.0000 0.0000 0.0000 [4 per cell]  4 Al 2.67, 4 Ta 2.67
Ta: 0.2500 0.2500 0.7500 [4 per cell]  4 Fe 2.67, 4 Mg 2.67
Al: 0.2500 0.2500 0.2500 [4 per cell]  4 Fe 2.67, 4 Mg 2.67
Fe: 0.0000 0.0000 0.5000 [4 per cell]  4 Ta 2.67, 4 Al 2.67


(20)
## BeCdMo2 (PBE-GGA)

Data for a relaxed BeCdMo2 crystal.

Output
Uncorrected energy ... -97.16 eV for the cell shown
ρ ... 8.43 g/cm3

Unit cell a=6.2725 b=6.2725 c=6.2725 alpha=90.00 beta=90.00 gamma=90.00
Closest atoms and distances in Å follow each position.
Space group F-43m (No. 216)
Inequivalent atoms, fractional coordinates:
Be: 0.0000 0.0000 0.0000 [4 per cell]  4 Cd 2.72, 4 Mo 2.72
Cd: 0.2500 0.2500 0.2500 [4 per cell]  4 Mo 2.72, 4 Be 2.72
Mo: 0.0000 0.0000 0.5000 [4 per cell]  4 Cd 2.72, 4 Mo 2.72
Mo: 0.2500 0.2500 0.7500 [4 per cell]  4 Mo 2.72, 4 Be 2.72